[1]
Compound: TbSm2YSe6
Source: Alexandria via LeMat-Bulk
Functional: PBE-GGA
Structure: relaxed

Calculated values
Theoretical density (g/cm3): 5.62
VASP energy (eV per atom): -5.996
Space-group type: No. 146
D(E_F) (states/eV/atom): 0.0000
Formation energy from raw total energies (eV per atom): -1.852
Spin magnetization (μB per cell): 0.00

Unit cell a=7.3090 b=7.3091 c=7.7747 alpha=61.95 beta=61.95 gamma=59.99
With the nearest neighbours (Å) after each atom.
Fractional positions:
Se (0.1069, 0.4261, 0.7545)  1 Y 2.85, 2 Sm 2.90-2.98, 1 Tb 2.92
Sm (0.0171, 0.0172, 0.9486)  6 Se 2.90-2.98
Se (0.7127, 0.1068, 0.7544)  1 Y 2.85, 2 Sm 2.90-2.98, 1 Tb 2.92
Y (0.8184, 0.8185, 0.5444)  6 Se 2.85-2.91
Sm (0.5169, 0.5168, 0.4494)  6 Se 2.90-2.98
Se (0.4260, 0.7126, 0.7544)  1 Y 2.85, 2 Sm 2.90-2.98, 1 Tb 2.92
Se (0.6079, 0.2125, 0.2546)  1 Tb 2.85, 2 Sm 2.90-2.98, 1 Y 2.91
Se (0.9250, 0.6080, 0.2547)  1 Tb 2.85, 2 Sm 2.90-2.98, 1 Y 2.91
Se (0.2124, 0.9249, 0.2546)  1 Tb 2.85, 2 Sm 2.90-2.98, 1 Y 2.91
Tb (0.3182, 0.3181, 0.0455)  6 Se 2.85-2.92

[2]
Compound: La14PmZr
Source: Alexandria via LeMat-Bulk
Functional: PBE-GGA
Structure: relaxed

Calculated values
Theoretical density (g/cm3): 6.45
VASP energy (eV per atom): -5.102
Space-group type: No. 38
D(E_F) (states/eV/atom): 1.7029
Spin magnetization (μB per cell): 0.00
Energy relative to the elements (eV per atom): 0.040

Unit cell a=7.3368 b=7.3368 c=10.4338 alpha=90.00 beta=90.00 gamma=89.98
With the nearest neighbours (Å) after each atom.
Fractional positions:
La (0.6157, 0.8657, 0.7580)  10 La 3.53-3.81, 1 Zr 3.55, 1 Pm 3.69
La (0.1342, 0.8658, 0.2417)  10 La 3.53-3.81, 1 Zr 3.55, 1 Pm 3.69
La (0.1343, 0.3843, 0.2420)  10 La 3.53-3.81, 1 Zr 3.55, 1 Pm 3.69
Zr (0.3749, 0.6251, 0.0000)  12 La 3.55-3.67
La (0.3755, 0.1253, 0.0000)  8 La 3.62, 2 Pm 3.67, 2 Zr 3.67
La (0.3753, 0.6247, 0.5000)  12 La 3.67-3.68
La (0.6158, 0.3842, 0.7578)  10 La 3.53-3.80, 1 Zr 3.55, 1 Pm 3.69
La (0.1343, 0.3843, 0.7580)  10 La 3.53-3.81, 1 Zr 3.55, 1 Pm 3.69
La (0.6158, 0.3842, 0.2422)  10 La 3.53-3.80, 1 Zr 3.55, 1 Pm 3.69
La (0.8747, 0.6245, 0.0000)  8 La 3.62, 2 Pm 3.67, 2 Zr 3.67
La (0.8754, 0.6256, 0.5000)  12 La 3.67-3.74
La (0.1342, 0.8658, 0.7583)  10 La 3.53-3.81, 1 Zr 3.55, 1 Pm 3.69
La (0.6157, 0.8657, 0.2420)  10 La 3.53-3.81, 1 Zr 3.55, 1 Pm 3.69
Pm (0.8752, 0.1248, 0.0000)  12 La 3.67-3.69
La (0.3744, 0.1246, 0.5000)  12 La 3.67-3.74
La (0.8746, 0.1254, 0.5000)  12 La 3.67-3.81

[3]
Compound: Sr2Ga2As
Source: Alexandria via LeMat-Bulk
Functional: PBE-GGA
Structure: relaxed

Calculated values
Theoretical density (g/cm3): 4.74
VASP energy (eV per atom): -3.267
Space-group type: No. 127
D(E_F) (states/eV/atom): 0.8143
Spin magnetization (μB per cell): 0.00
Energy relative to the elements (eV per atom): -0.454

Unit cell a=7.5167 b=7.5167 c=4.8299 alpha=90.00 beta=90.00 gamma=90.00
With the nearest neighbours (Å) after each atom.
Fractional positions:
Sr (0.6784, 0.8216, 0.5000)  6 Ga 3.20-3.34
As (0.0000, 0.0000, 0.0000)  4 Ga 2.98
Ga (0.6235, 0.1235, 0.0000)  1 Ga 2.62
Sr (0.3216, 0.1784, 0.5000)  6 Ga 3.20-3.34
Sr (0.1784, 0.6784, 0.5000)  6 Ga 3.20-3.34
Ga (0.3765, 0.8765, 0.0000)  1 Ga 2.62
Ga (0.8765, 0.6235, 0.0000)  1 Ga 2.62
Ga (0.1235, 0.3765, 0.0000)  1 Ga 2.62
Sr (0.8216, 0.3216, 0.5000)  6 Ga 3.20-3.34
As (0.5000, 0.5000, 0.0000)  4 Ga 2.98

[4]
Compound: Si2IrRu
Source: Alexandria via LeMat-Bulk
Functional: PBE-GGA
Structure: relaxed

Calculated values
Theoretical density (g/cm3): 11.05
VASP energy (eV per atom): -7.727
Space-group type: No. 123
D(E_F) (states/eV/atom): 0.3047
Formation energy from raw total energies (eV per atom): -0.481
Spin magnetization (μB per cell): 0.00

Unit cell a=4.0685 b=4.0683 c=3.1734 alpha=90.00 beta=90.00 gamma=90.00
With the nearest neighbours (Å) after each atom.
Fractional positions:
Ru (0.0000, 0.5000, 0.5000)  8 Si 2.58, 4 Ir 2.88
Ir (0.5000, 0.0000, 0.5000)  8 Si 2.58, 4 Ru 2.88
Si (0.5000, 0.5000, 0.0000)  4 Ir 2.58, 4 Ru 2.58, 4 Si 2.88
Si (0.0000, 0.0000, 0.0000)  4 Ru 2.58, 4 Ir 2.58, 4 Si 2.88